# 1
Entry from the Alexandria database: Cr2CuRe after structural relaxation (GGA-PBE).

Summary:
* total moment: 0.00 Bohr magnetons per cell
* D(E_F): 0.8920 states/eV per atom
* formation enthalpy at 0 K: 0.96 eV per formula unit
* total DFT energy (no corrections): -69.67 eV for the cell shown
* SG: I4/mmm (139)
* calculated volume: 101 Å³/cell

Cell: 3.7539 3.7539 7.1659 Å, 90.00 90.00 90.00°
Positions (direct):
Cr 0.0000 0.5000 0.2500
Cr 0.0000 0.5000 0.7500
Cr 0.5000 0.0000 0.2500
Cr 0.5000 0.0000 0.7500
Cu 0.0000 0.0000 0.0000
Cu 0.5000 0.5000 0.5000
Re 0.0000 0.0000 0.5000
Re 0.5000 0.5000 0.0000


# 2
Entry from the Alexandria database: Cr2CuRe after structural relaxation (GGA-PBE).

Summary:
* total moment: 0.00 Bohr magnetons per cell
* D(E_F): 0.9928 states/eV per atom
* formation enthalpy at 0 K: 1.18 eV per formula unit
* total DFT energy (no corrections): -34.61 eV for the cell shown
* SG: Pmm2 (25)
* calculated volume: 51 Å³/cell

Cell: 2.6550 3.7093 5.1820 Å, 90.00 90.00 90.00°
Positions (direct):
Cr 0.0000 0.0000 0.0000
Cr 0.5000 0.5000 0.2328
Cu 0.0000 0.0000 0.4870
Re 0.5000 0.5000 0.7565


# 3
Entry from the Alexandria database: Cr2CuRe after structural relaxation (GGA-PBE).

Summary:
* total moment: 2.05 Bohr magnetons per cell
* D(E_F): 1.6027 states/eV per atom
* formation enthalpy at 0 K: 1.47 eV per formula unit
* total DFT energy (no corrections): -102.95 eV for the cell shown
* SG: R-3m (166)
* calculated volume: 157 Å³/cell

Cell: 2.6377 2.6377 26.0382 Å, 90.00 90.00 120.00°
Positions (direct):
Cr 0.0000 0.0000 0.2491
Cr 0.0000 0.0000 0.7509
Cr 0.3333 0.6667 0.4176
Cr 0.3333 0.6667 0.9157
Cr 0.6667 0.3333 0.0843
Cr 0.6667 0.3333 0.5824
Cu 0.0000 0.0000 0.5000
Cu 0.3333 0.6667 0.1667
Cu 0.6667 0.3333 0.8333
Re 0.0000 0.0000 0.0000
Re 0.3333 0.6667 0.6667
Re 0.6667 0.3333 0.3333


# 4
Entry from the Alexandria database: Cr2CuRe after structural relaxation (GGA-PBE).

Summary:
* total moment: 3.54 Bohr magnetons per cell
* D(E_F): 1.2541 states/eV per atom
* formation enthalpy at 0 K: 3.40 eV per formula unit
* total DFT energy (no corrections): -129.55 eV for the cell shown
* SG: I-42d (122)
* calculated volume: 224 Å³/cell

Cell: 6.6528 6.6528 5.0625 Å, 90.00 90.00 90.00°
Positions (direct):
Cr 0.2361 0.7500 0.1250
Cr 0.2500 0.2361 0.8750
Cr 0.2500 0.2639 0.3750
Cr 0.2639 0.7500 0.6250
Cr 0.7361 0.2500 0.6250
Cr 0.7500 0.7361 0.3750
Cr 0.7500 0.7639 0.8750
Cr 0.7639 0.2500 0.1250
Cu 0.0000 0.0000 0.5000
Cu 0.0000 0.5000 0.7500
Cu 0.5000 0.0000 0.2500
Cu 0.5000 0.5000 0.0000
Re 0.0000 0.0000 0.0000
Re 0.0000 0.5000 0.2500
Re 0.5000 0.0000 0.7500
Re 0.5000 0.5000 0.5000


# 5
Entry from the Alexandria database: CrCu2Re after structural relaxation (GGA-PBE).

Summary:
* total moment: 0.70 Bohr magnetons per cell
* D(E_F): 0.8078 states/eV per atom
* formation enthalpy at 0 K: 1.09 eV per formula unit
* total DFT energy (no corrections): -29.18 eV for the cell shown
* SG: Pmm2 (25)
* calculated volume: 52 Å³/cell

Cell: 2.5621 3.8119 5.2787 Å, 90.00 90.00 90.00°
Positions (direct):
Cr 0.0000 0.0000 0.0000
Cu 0.0000 0.0000 0.4900
Cu 0.5000 0.5000 0.2663
Re 0.5000 0.5000 0.7662


# 6
Entry from the Alexandria database: CrCu2Re after structural relaxation (GGA-PBE).

Summary:
* total moment: 0.54 Bohr magnetons per cell
* D(E_F): 1.0001 states/eV per atom
* formation enthalpy at 0 K: 0.98 eV per formula unit
* total DFT energy (no corrections): -29.29 eV for the cell shown
* SG: P4mm (99)
* calculated volume: 51 Å³/cell

Cell: 3.0449 3.0449 5.5384 Å, 90.00 90.00 90.00°
Positions (direct):
Cr 0.0000 0.0000 0.0000
Cu 0.0000 0.0000 0.4874
Cu 0.5000 0.5000 0.2687
Re 0.5000 0.5000 0.7740


# 7
Entry from the Alexandria database: CrCu2Re after structural relaxation (GGA-PBE).

Summary:
* total moment: 0.00 Bohr magnetons per cell
* D(E_F): 0.3032 states/eV per atom
* formation enthalpy at 0 K: 1.19 eV per formula unit
* total DFT energy (no corrections): -29.07 eV for the cell shown
* SG: P2/m (10)
* calculated volume: 51 Å³/cell

Cell: 2.5311 4.0688 4.9431 Å, 90.00 90.83 90.00°
Positions (direct):
Cr 0.0000 0.0000 0.0000
Cu 0.4982 0.5000 0.2468
Cu 0.5018 0.5000 0.7532
Re 0.0000 0.0000 0.5000


# 8
Entry from the Alexandria database: CrCu2Re after structural relaxation (GGA-PBE).

Summary:
* total moment: 0.00 Bohr magnetons per cell
* D(E_F): 0.7024 states/eV per atom
* formation enthalpy at 0 K: 0.86 eV per formula unit
* total DFT energy (no corrections): -58.80 eV for the cell shown
* SG: Cmm2 (35)
* calculated volume: 104 Å³/cell

Cell: 3.0211 4.1474 8.2982 Å, 90.00 90.00 90.00°
Positions (direct):
Cr 0.0000 0.0000 0.0000
Cr 0.5000 0.5000 0.0000
Cu 0.0000 0.0000 0.4871
Cu 0.0000 0.5000 0.2456
Cu 0.5000 0.0000 0.2456
Cu 0.5000 0.5000 0.4871
Re 0.0000 0.5000 0.7525
Re 0.5000 0.0000 0.7525